Entry 1:
Computed, not measured: an optimized crystal structure of Cd4Te3S at the PBE level of DFT.

Properties
DFT total energy ... -0.0971 hartree per atom
Symmetry ... Pmn2_1, No. 31
Formation energy without anion corrections ... -0.4903 eV per atom

Lattice parameters (Å, degrees): 7.450 7.872 9.094 90.00 90.00 90.00
Atoms (fractional coordinates):
S (0.002, 0.171, 0.000)
Te (0.501, 0.330, 0.252)
Cd (0.617, 0.675, 0.734)
Cd (0.119, 0.862, 0.000)
Cd (0.117, 0.325, 0.234)
Te (0.002, 0.159, 0.500)
S (0.502, 0.829, 0.500)
Cd (0.155, 0.827, 0.500)
Cd (0.655, 0.173, 0.000)
Cd (0.117, 0.325, 0.766)
Te (0.001, 0.670, 0.752)
Cd (0.619, 0.138, 0.500)
Te (0.001, 0.670, 0.248)
Cd (0.617, 0.675, 0.266)
Te (0.501, 0.330, 0.748)
Te (0.502, 0.841, 0.000)

---

Entry 2:
Computed, not measured: an optimized crystal structure of Th2NpSn at the PBE level of DFT.

Properties
ΔH_f (0 K) ... 0.4567 eV per atom
DFT total energy ... -0.2752 hartree per atom
Symmetry ... R-3m, No. 166

Lattice parameters (Å, degrees): 3.813 3.813 8.742 77.40 77.40 60.00
Atoms (fractional coordinates):
Sn (0.500, 0.500, 0.500)
Th (0.268, 0.268, 0.198)
Th (0.732, 0.732, 0.802)
Np (0.000, 0.000, 0.000)